No. 1
Material: Mn3SiH
Method: DFT, PBE
State: relaxed

The structure in CIF format:
```
data_Mn3SiH
_space_group_name_H-M_alt 'R -3 c'
_space_group_IT_number 167
_space_group_name_Hall '-R 3 2"c'
_cell_length_a 6.4535
_cell_length_b 6.4535
_cell_length_c 7.9411
_cell_angle_alpha 90.00
_cell_angle_beta 90.00
_cell_angle_gamma 120.00
loop_
_atom_site_label
_atom_site_type_symbol
_atom_site_fract_x
_atom_site_fract_y
_atom_site_fract_z
_atom_site_occupancy
Mn1 Mn 0.0000 0.2633 0.2500 1
Si1 Si 0.0000 0.0000 0.0000 1
H1 H 0.0000 0.0000 0.2500 1
```

DOS(E_F): 37.475 states/eV per cell
VASP energy: -217.70 eV/cell
Magnetization: 25.74 μB per cell

No. 2
Material: In4Pd3Au2
Method: DFT, PBE
State: relaxed

The structure in CIF format:
```
data_In4Pd3Au2
_space_group_name_H-M_alt 'C 1 2/m 1'
_space_group_IT_number 12
_space_group_name_Hall '-C 2y'
_cell_length_a 10.155
_cell_length_b 3.352
_cell_length_c 10.807
_cell_angle_alpha 90.00
_cell_angle_beta 109.33
_cell_angle_gamma 90.00
loop_
_atom_site_label
_atom_site_type_symbol
_atom_site_fract_x
_atom_site_fract_y
_atom_site_fract_z
_atom_site_occupancy
In1 In 0.102 0.000 0.397 1
In2 In 0.135 0.500 0.875 1
Pd1 Pd 0.000 0.000 0.000 1
Pd2 Pd 0.125 0.500 0.613 1
Au1 Au 0.172 0.500 0.203 1
```

DOS(E_F): 5.710 states/eV per cell
Calculated formation energy: -3.1 eV/f.u.
VASP energy: -72.32 eV/cell
Magnetization: 0.00 μB per cell

No. 3
Material: CsBaP2S
Method: DFT, PBE
State: relaxed

The structure in CIF format:
```
data_CsBaP2S
_space_group_name_H-M_alt 'P 4/m m m'
_space_group_IT_number 123
_space_group_name_Hall '-P 4 2'
_cell_length_a 5.542
_cell_length_b 5.542
_cell_length_c 5.789
_cell_angle_alpha 90.00
_cell_angle_beta 90.00
_cell_angle_gamma 90.00
loop_
_atom_site_label
_atom_site_type_symbol
_atom_site_fract_x
_atom_site_fract_y
_atom_site_fract_z
_atom_site_occupancy
Cs1 Cs 0.000 0.000 0.000 1
Ba1 Ba 0.500 0.500 0.500 1
P1 P 0.000 0.500 0.000 1
S1 S 0.000 0.000 0.500 1
```

DOS(E_F): 7.461 states/eV per cell
E_form (uncorrected): 0.67 eV/atom
VASP energy: -14.37 eV/cell
Magnetization: 2.07 μB per cell